This record from OQMD via LeMat-Bulk describes an optimized crystal structure of BeNiSbMo. The functional is PBE-GGA.

extended XYZ file:
```
4
Lattice="-2.055 -3.314 1.812 0.097 -0.515 4.268 -3.549 0.685 2.329" Properties=species:S:1:pos:R:3 pbc="T T T"
Be -1.377 -0.786 2.102
Mo -2.754 -1.572 4.205
Ni -4.130 -2.358 6.307
Sb 0.000 0.000 0.000
```

relative energy among the computed polymorphs	88	kJ/mol of formula units
space-group type	No. 216
size of the total moment	0.03	μB/f.u.

This record from OQMD via LeMat-Bulk describes an optimized crystal structure of Cd2Te3O9. The functional is PBE-GGA.

extended XYZ file:
```
56
Lattice="9.282 0.000 0.000 0.000 7.330 0.000 -7.038 0.000 11.093" Properties=species:S:1:pos:R:3 pbc="T T T"
Cd -0.153 0.922 1.591
Cd -0.123 4.575 1.617
Cd 5.887 0.910 3.929
Cd 5.916 4.587 3.955
Cd -3.671 2.743 7.138
Cd -3.642 6.420 7.164
Cd 2.368 2.755 9.476
Cd 2.397 6.408 9.501
O 8.211 2.708 0.313
O 8.160 6.443 0.428
O 3.373 6.857 0.881
O 3.295 2.285 0.887
O 6.583 1.146 1.730
O 6.702 4.306 1.786
O 2.968 4.576 2.102
O 1.055 6.458 2.393
O 1.008 2.709 2.405
O 4.756 6.374 3.141
O 4.709 2.793 3.153
O 2.796 0.911 3.444
O -0.939 0.641 3.760
O -0.820 4.811 3.816
O 2.469 5.950 4.660
O 2.390 3.192 4.665
O -2.397 2.778 5.119
O -2.447 6.373 5.233
O 4.692 0.957 5.860
O 4.642 4.552 5.974
O -0.145 4.138 6.428
O -0.224 1.380 6.433
O 3.065 2.519 7.276
O 3.184 6.689 7.333
O -0.551 6.419 7.648
O -2.464 4.537 7.940
O -2.511 0.956 7.952
O 1.237 4.621 8.688
O 1.190 0.872 8.700
O -0.723 2.754 8.991
O -4.458 3.024 9.307
O -4.339 6.184 9.363
O -1.050 5.045 10.206
O -1.129 0.473 10.211
O -5.916 0.887 10.665
O -5.966 4.622 10.780
Te 6.276 6.445 0.527
Te 6.340 2.768 0.674
Te 2.864 2.741 2.769
Te 2.900 6.406 2.777
Te -0.577 6.433 4.873
Te -0.513 2.780 5.020
Te 2.758 4.551 6.073
Te 2.821 0.897 6.220
Te -0.655 0.924 8.316
Te -0.619 4.589 8.324
Te -4.095 4.562 10.419
Te -4.032 0.885 10.566
```

E_tot	-5.04	eV/atom
space-group type	No. 14

This record from OQMD via LeMat-Bulk describes an optimized crystal structure of HgAu15. The functional is PBE-GGA.

extended XYZ file:
```
64
Lattice="8.159 0.000 0.000 0.000 44.015 0.000 0.000 0.000 4.084" Properties=species:S:1:pos:R:3 pbc="T T T"
Au 5.080 6.068 0.000
Au 7.179 8.120 0.000
Au 3.016 8.155 0.000
Au 1.023 10.278 0.000
Au 5.096 10.282 0.000
Au 3.055 12.415 0.000
Au 7.145 12.415 0.000
Au 5.101 14.542 0.000
Au 1.021 14.554 0.000
Au 3.063 16.679 0.000
Au 7.137 16.682 0.000
Au 1.021 18.812 0.000
Au 5.099 18.813 0.000
Au 3.060 20.942 0.000
Au 7.139 20.942 0.000
Au 1.020 23.073 0.000
Au 5.099 23.073 0.000
Au 3.060 25.202 0.000
Au 7.138 25.203 0.000
Au 1.022 27.333 0.000
Au 5.096 27.336 0.000
Au 7.138 29.461 0.000
Au 3.059 29.474 0.000
Au 1.014 31.600 0.000
Au 5.104 31.600 0.000
Au 3.063 33.733 0.000
Au 7.136 33.737 0.000
Au 5.143 35.860 0.000
Au 0.980 35.895 0.000
Au 3.079 37.947 0.000
Au 3.079 6.068 2.042
Au 0.980 8.120 2.042
Au 5.143 8.155 2.042
Au 7.136 10.278 2.042
Au 3.063 10.282 2.042
Au 5.104 12.415 2.042
Au 1.014 12.415 2.042
Au 3.059 14.542 2.042
Au 7.138 14.554 2.042
Au 5.096 16.679 2.042
Au 1.022 16.682 2.042
Au 7.138 18.812 2.042
Au 3.060 18.813 2.042
Au 5.099 20.942 2.042
Au 1.020 20.942 2.042
Au 7.139 23.073 2.042
Au 3.060 23.073 2.042
Au 5.099 25.202 2.042
Au 1.021 25.203 2.042
Au 7.137 27.333 2.042
Au 3.063 27.336 2.042
Au 1.021 29.461 2.042
Au 5.101 29.474 2.042
Au 7.145 31.600 2.042
Au 3.055 31.600 2.042
Au 5.096 33.733 2.042
Au 1.023 33.737 2.042
Au 3.016 35.860 2.042
Au 7.179 35.895 2.042
Au 5.080 37.947 2.042
Hg 1.123 5.444 0.000
Hg 7.036 38.571 0.000
Hg 7.036 5.444 2.042
Hg 1.123 38.571 2.042
```

relative energy among the computed polymorphs	2	kJ/mol of formula units
formation enthalpy at 0 K	0.038	eV/atom
space-group type	No. 49

This record from OQMD via LeMat-Bulk describes an optimized crystal structure of BaReH9. The functional is PBE-GGA.

extended XYZ file:
```
33
Lattice="6.848 0.000 0.000 -3.424 5.930 0.000 0.000 0.000 7.400" Properties=species:S:1:pos:R:3 pbc="T T T"
Ba 3.424 1.977 1.237
Ba 0.000 0.000 3.676
Ba 0.000 3.953 6.152
H 3.934 4.836 1.182
H 0.693 0.989 1.182
H 5.645 0.105 1.182
H 0.489 5.059 1.236
H 0.713 2.977 1.236
H -1.202 3.824 1.237
H 1.683 3.984 2.452
H -0.814 2.481 2.452
H -0.868 5.395 2.452
H -1.201 4.030 3.657
H 0.535 2.875 3.657
H 0.667 4.956 3.657
H 2.223 1.920 3.742
H 3.975 3.045 3.742
H 4.072 0.965 3.742
H 5.104 1.918 4.940
H 2.634 3.461 4.941
H 2.532 0.550 4.941
H 0.504 1.094 6.159
H -2.728 4.946 6.159
H 2.224 5.820 6.160
H 4.160 2.937 6.165
H 3.887 0.859 6.165
H 2.224 2.135 6.165
H 1.682 0.003 7.372
H 6.005 1.455 7.372
H 2.585 4.472 7.372
Re 0.000 3.953 2.450
Re 3.423 1.977 4.954
Re 0.000 0.000 7.373
```

relative energy among the computed polymorphs	69	kJ/mol of formula units
space-group type	No. 143
size of the total moment	0.00	μB/f.u.